Density functional theory data (PBE) for crystalline Ca2GaTe4 at its relaxed geometry.

Computed properties:
Space group: I4/mmm
V in Å³/cell: 235.34
Formation energy without anion corrections in eV/atom: -0.641
DFT total energy in eV/f.u.: -24.1

a = 5.470 Å, b = 5.470 Å, c = 8.765 Å
α = 71.82°, β = 71.82°, γ = 90.00°
Positions (direct):
Ca1 0.623 0.623 0.753
Ca2 0.377 0.377 0.247
Te1 0.816 0.816 0.369
Te2 0.184 0.184 0.631
Te3 0.000 0.500 0.000
Te4 0.500 0.000 0.000
Ga1 0.000 0.000 0.000